No. 1
{"formula": "YTa4Hg", "functional": "PBE-GGA", "state": "relaxed", "m_tot_mub_per_cell": 0.0, "dft_energy_ev_per_atom": -8.706, "cell": [[0.0000, 3.9896, 3.9896], [3.9896, 0.0000, 3.9896], [3.9896, 3.9896, 0.0000]], "species": ["Hg", "Y", "Ta", "Ta", "Ta", "Ta"], "fractional_positions": [[0.0000, 0.0000, 0.0000], [0.7500, 0.7500, 0.7500], [0.3776, 0.3776, 0.8671], [0.8671, 0.3776, 0.3776], [0.3776, 0.3776, 0.3776], [0.3776, 0.8671, 0.3776]]}



No. 2
{"formula": "Zr2GeAuBr", "functional": "PBE-GGA", "state": "relaxed", "m_tot_mub_per_cell": 0.0, "dft_energy_ev_per_atom": -4.762, "formation_energy_uncorrected_ev_per_atom": 0.5712, "cell": [[-4.0702, -1.9326, -2.4634], [-1.4098, -2.4359, 4.2405], [-2.7892, 4.0736, 1.4128]], "species": ["Br", "Zr", "Ge", "Zr", "Au"], "fractional_positions": [[0.0000, 0.5000, 0.0000], [0.0000, 0.0000, 0.5000], [0.0000, 0.0000, 0.0000], [0.5000, 0.0000, 0.0000], [0.5000, 0.5000, 0.5000]]}



No. 3
{"formula": "PbSCl2", "functional": "PBE-GGA", "state": "relaxed", "m_tot_mub_per_cell": 2.0, "dft_energy_ev_per_atom": -3.585, "formation_energy_uncorrected_ev_per_atom": -0.7029, "e_above_lowest_polymorph_mev_per_atom": 0, "cell": [[4.3039, 0.0000, -0.7702], [0.0035, 5.7492, 0.0198], [-0.2948, 0.0227, 10.7634]], "species": ["Cl", "Cl", "Cl", "S", "Cl", "Pb", "S", "Pb"], "fractional_positions": [[0.7778, 0.7457, 0.5555], [0.6004, 0.5749, 0.2009], [0.2222, 0.2543, 0.4445], [0.9629, 0.9071, 0.9259], [0.3996, 0.4251, 0.7991], [0.1734, 0.7118, 0.3468], [0.0371, 0.0929, 0.0741], [0.8266, 0.2882, 0.6532]]}



No. 4
{"formula": "LaSb2Mo2", "functional": "PBE-GGA", "state": "relaxed", "m_tot_mub_per_cell": 0.0, "dft_energy_ev_per_atom": -7.188, "formation_energy_uncorrected_ev_per_atom": -0.2215, "cell": [[5.1152, 0.0000, 0.0000], [0.0000, 5.1152, 0.0000], [2.5576, 2.5576, 4.5757]], "species": ["Sb", "Mo", "La", "Sb", "Mo"], "fractional_positions": [[0.2500, 0.7500, 0.5000], [0.6207, 0.6207, 0.7587], [0.0000, 0.0000, 0.0000], [0.7500, 0.2500, 0.5000], [0.3793, 0.3793, 0.2413]]}